(1)
Entry from Alexandria: a relaxed structure of Ac2PmIn12Ni3 (PBE-GGA).

abc: 8.692 8.692 8.692
angles: 64.85 64.85 64.85
Fractional positions:
Ac: 0.085 0.085 0.085
Ac: 0.915 0.915 0.915
Pm: 0.500 0.500 0.500
In: 0.045 0.659 0.659
In: 0.223 0.223 0.612
In: 0.223 0.612 0.223
In: 0.341 0.341 0.955
In: 0.341 0.955 0.341
In: 0.388 0.777 0.777
In: 0.612 0.223 0.223
In: 0.659 0.045 0.659
In: 0.659 0.659 0.045
In: 0.777 0.388 0.777
In: 0.777 0.777 0.388
In: 0.955 0.341 0.341
Ni: 0.000 0.500 0.500
Ni: 0.500 0.000 0.500
Ni: 0.500 0.500 0.000

Summary:
Volume ... 28.5 A^3/atom
ΔE_f ... -49.1 meV per atom
Calculated total energy ... -3.559 eV per atom

(2)
Entry from Alexandria: a relaxed structure of Ac2PrIn12Ni3 (PBE-GGA).

abc: 8.714 8.714 8.714
angles: 64.68 64.68 64.68
Fractional positions:
Ac: 0.085 0.085 0.085
Ac: 0.915 0.915 0.915
Pr: 0.500 0.500 0.500
In: 0.041 0.660 0.660
In: 0.222 0.222 0.612
In: 0.222 0.612 0.222
In: 0.340 0.340 0.959
In: 0.340 0.959 0.340
In: 0.388 0.778 0.778
In: 0.612 0.222 0.222
In: 0.660 0.041 0.660
In: 0.660 0.660 0.041
In: 0.778 0.388 0.778
In: 0.778 0.778 0.388
In: 0.959 0.340 0.340
Ni: 0.000 0.500 0.500
Ni: 0.500 0.000 0.500
Ni: 0.500 0.500 0.000

Summary:
Volume ... 28.7 A^3/atom
ΔE_f ... -57.4 meV per atom
Calculated total energy ... -3.569 eV per atom

(3)
Entry from Alexandria: a relaxed structure of Ac3PrInNi (PBE-GGA).

abc: 9.677 9.677 6.451
angles: 109.03 109.03 46.00
Fractional positions:
Ac: 0.129 0.636 0.889
Ac: 0.312 0.312 0.322
Ac: 0.364 0.871 0.111
Ac: 0.636 0.129 0.889
Ac: 0.688 0.688 0.678
Ac: 0.871 0.364 0.111
Pr: 0.235 0.765 0.500
Pr: 0.765 0.235 0.500
In: 0.189 0.189 0.688
In: 0.811 0.811 0.312
Ni: 0.498 0.498 0.801
Ni: 0.502 0.502 0.199

Summary:
Volume ... 33.9 A^3/atom
ΔE_f ... -213.3 meV per atom
Calculated total energy ... -4.484 eV per atom

(4)
Entry from Alexandria: a relaxed structure of Ac2InNi3Pt12 (PBE-GGA).

abc: 8.028 8.028 8.028
angles: 61.51 61.51 61.51
Fractional positions:
Ac: 0.113 0.113 0.113
Ac: 0.887 0.887 0.887
In: 0.500 0.500 0.500
Ni: 0.000 0.500 0.500
Ni: 0.500 0.000 0.500
Ni: 0.500 0.500 0.000
Pt: 0.108 0.634 0.634
Pt: 0.138 0.138 0.610
Pt: 0.138 0.610 0.138
Pt: 0.366 0.366 0.892
Pt: 0.366 0.892 0.366
Pt: 0.390 0.862 0.862
Pt: 0.610 0.138 0.138
Pt: 0.634 0.108 0.634
Pt: 0.634 0.634 0.108
Pt: 0.862 0.390 0.862
Pt: 0.862 0.862 0.390
Pt: 0.892 0.366 0.366

Summary:
Volume ... 21.0 A^3/atom
ΔE_f ... -40.8 meV per atom
Calculated total energy ... -5.640 eV per atom